(1)
# CaMgNiPd, optimized geometry, DFT PBE-GGA
data_CaMgNiPd
_space_group_name_H-M_alt 'F -4 3 m'
_space_group_IT_number 216
_space_group_name_Hall 'F -4 2 3'
_cell_length_a 6.6355
_cell_length_b 6.6355
_cell_length_c 6.6355
_cell_angle_alpha 90.00
_cell_angle_beta 90.00
_cell_angle_gamma 90.00
loop_
_atom_site_label
_atom_site_type_symbol
_atom_site_fract_x
_atom_site_fract_y
_atom_site_fract_z
Ca1 Ca 0.0000 0.0000 0.0000
Mg1 Mg 0.0000 0.0000 0.5000
Ni1 Ni 0.2500 0.2500 0.2500
Pd1 Pd 0.2500 0.2500 0.7500
# E in eV per atom: -3.943
# Energy of formation in eV per atom: -0.30
# Theoretical density in g/cm3: 5.2

(2)
# CaPmMgNi, optimized geometry, DFT PBE-GGA
data_CaPmMgNi
_space_group_name_H-M_alt 'F -4 3 m'
_space_group_IT_number 216
_space_group_name_Hall 'F -4 2 3'
_cell_length_a 7.3036
_cell_length_b 7.3036
_cell_length_c 7.3036
_cell_angle_alpha 90.00
_cell_angle_beta 90.00
_cell_angle_gamma 90.00
loop_
_atom_site_label
_atom_site_type_symbol
_atom_site_fract_x
_atom_site_fract_y
_atom_site_fract_z
Ca1 Ca 0.0000 0.0000 0.0000
Pm1 Pm 0.0000 0.0000 0.5000
Mg1 Mg 0.2500 0.2500 0.2500
Ni1 Ni 0.2500 0.2500 0.7500
# E in eV per atom: -3.547
# Energy of formation in eV per atom: -0.02
# Theoretical density in g/cm3: 4.6